Entry a
{"formula": "Li2Mg2Cd3", "functional": "GGA-PBE", "state": "relaxed", "lattice": [[4.761, 0.000, 0.000], [0.000, 2.949, 0.000], [-2.380, -1.474, 9.954]], "species": ["Cd", "Li", "Cd", "Cd", "Mg", "Li", "Mg"], "fractional_positions": [[0.000, 0.000, 0.000], [0.851, 0.351, 0.702], [0.708, 0.208, 0.417], [0.292, 0.792, 0.583], [0.573, 0.573, 0.147], [0.149, 0.649, 0.298], [0.427, 0.427, 0.853]], "total_magnetization_mub_per_fu": 0.00, "sg": "Immm, No. 71", "n_ef_per_ev_atom": 0.28}

Entry b
{"formula": "Li2Mg2Cd3", "functional": "GGA-PBE", "state": "relaxed", "lattice": [[4.662, -0.001, -1.301], [-2.512, 4.137, -0.001], [-0.403, -0.242, 7.558]], "species": ["Cd", "Li", "Li", "Mg", "Mg", "Cd", "Cd"], "fractional_positions": [[0.000, 0.000, 0.000], [0.168, 0.584, 0.752], [0.832, 0.416, 0.248], [0.726, 0.863, 0.590], [0.274, 0.137, 0.410], [0.451, 0.725, 0.176], [0.549, 0.275, 0.824]], "total_magnetization_mub_per_fu": 0.00, "sg": "R-3m, No. 166", "n_ef_per_ev_atom": 0.28}

Least stable = entry a

Entry a
{"formula": "Li7Mg2Cd2", "functional": "GGA-PBE", "state": "relaxed", "lattice": [[-5.647, -0.007, -0.750], [-1.845, -6.193, 3.903], [-2.607, -1.519, 6.667]], "species": ["Li", "Li", "Cd", "Li", "Mg", "Mg", "Cd", "Li", "Li", "Li", "Li"], "fractional_positions": [[0.199, 0.071, 0.301], [0.000, 0.000, 0.000], [0.352, 0.203, 0.540], [0.530, 0.264, 0.833], [0.254, 0.639, 0.914], [0.746, 0.361, 0.086], [0.648, 0.797, 0.460], [0.113, 0.550, 0.615], [0.887, 0.450, 0.385], [0.470, 0.736, 0.167], [0.801, 0.929, 0.699]], "total_magnetization_mub_per_fu": 0.00, "sg": "P-1, No. 2", "n_ef_per_ev_atom": 0.40}

Entry b
{"formula": "Li7Mg2Cd2", "functional": "GGA-PBE", "state": "relaxed", "lattice": [[-7.035, 0.159, 1.486], [-1.945, -2.269, -4.876], [-0.257, -4.617, 3.364]], "species": ["Li", "Li", "Cd", "Cd", "Mg", "Li", "Li", "Li", "Li", "Li", "Mg"], "fractional_positions": [[0.424, 0.839, 0.839], [0.180, 0.486, 0.096], [0.153, 0.606, 0.606], [0.847, 0.394, 0.394], [0.500, 0.308, 0.692], [0.820, 0.904, 0.514], [0.576, 0.161, 0.161], [0.180, 0.096, 0.486], [0.000, 0.000, 0.000], [0.820, 0.514, 0.904], [0.500, 0.692, 0.308]], "total_magnetization_mub_per_fu": 0.00, "sg": "C2/m, No. 12", "n_ef_per_ev_atom": 0.38}

Least stable = entry b

Entry a
{"formula": "LiMg5Cd2", "functional": "GGA-PBE", "state": "relaxed", "lattice": [[-0.421, 1.007, -4.759], [-2.207, -3.935, 1.868], [-14.561, 9.758, 3.353]], "species": ["Mg", "Mg", "Mg", "Cd", "Mg", "Mg", "Mg", "Cd", "Mg", "Mg", "Mg", "Cd", "Li", "Li", "Mg", "Cd"], "fractional_positions": [[0.000, 0.000, 0.160], [0.667, 0.333, 0.059], [0.667, 0.333, 0.250], [0.667, 0.333, 0.897], [0.333, 0.667, 0.941], [0.000, 0.000, 0.660], [0.333, 0.667, 0.559], [0.333, 0.667, 0.397], [0.000, 0.000, 0.840], [0.333, 0.667, 0.750], [0.000, 0.000, 0.340], [0.333, 0.667, 0.103], [0.667, 0.333, 0.750], [0.333, 0.667, 0.250], [0.667, 0.333, 0.441], [0.667, 0.333, 0.603]], "total_magnetization_mub_per_fu": 0.00, "sg": "P6_3/mmc, No. 194", "n_ef_per_ev_atom": 0.46}

Entry b
{"formula": "LiMg5Cd2", "functional": "GGA-PBE", "state": "relaxed", "lattice": [[4.617, 0.000, 0.000], [-2.309, 5.004, 0.000], [0.000, 0.000, 15.029]], "species": ["Mg", "Mg", "Li", "Cd", "Mg", "Mg", "Mg", "Mg", "Cd", "Mg", "Mg", "Cd", "Mg", "Cd", "Mg", "Li"], "fractional_positions": [[0.054, 0.107, 0.403], [0.356, 0.713, 0.459], [0.219, 0.439, 0.250], [0.762, 0.524, 0.149], [0.644, 0.287, 0.541], [0.946, 0.893, 0.597], [0.946, 0.893, 0.903], [0.644, 0.287, 0.959], [0.238, 0.476, 0.851], [0.054, 0.107, 0.097], [0.356, 0.713, 0.041], [0.762, 0.524, 0.351], [0.498, 0.996, 0.250], [0.238, 0.476, 0.649], [0.502, 0.004, 0.750], [0.781, 0.561, 0.750]], "total_magnetization_mub_per_fu": 0.00, "sg": "Cmcm, No. 63", "n_ef_per_ev_atom": 0.41}

Least stable = entry a

Entry a
{"formula": "Li7MgCd3", "functional": "GGA-PBE", "state": "relaxed", "lattice": [[5.078, -0.058, -0.074], [-2.317, 6.715, 0.417], [-2.317, -1.224, 6.616]], "species": ["Li", "Li", "Cd", "Cd", "Li", "Li", "Cd", "Li", "Li", "Mg", "Li"], "fractional_positions": [[0.838, 0.826, 0.826], [0.000, 0.500, 0.500], [0.000, 0.234, 0.766], [0.000, 0.766, 0.234], [0.326, 0.598, 0.053], [0.674, 0.947, 0.402], [0.500, 0.000, 0.000], [0.326, 0.053, 0.598], [0.674, 0.402, 0.947], [0.500, 0.500, 0.500], [0.162, 0.174, 0.174]], "total_magnetization_mub_per_fu": 0.00, "sg": "C2/m, No. 12", "n_ef_per_ev_atom": 0.32}

Entry b
{"formula": "Li7MgCd3", "functional": "GGA-PBE", "state": "relaxed", "lattice": [[-2.014, 0.831, -2.112], [-6.894, 0.189, 8.828], [3.001, 12.546, 2.075]], "species": ["Cd", "Li", "Cd", "Li", "Cd", "Li", "Li", "Li", "Cd", "Mg", "Li", "Cd", "Li", "Li", "Mg", "Li", "Li", "Li", "Li", "Li", "Li", "Cd"], "fractional_positions": [[0.150, 0.300, 0.034], [0.545, 0.091, 0.070], [0.850, 0.700, 0.534], [0.545, 0.091, 0.430], [0.830, 0.660, 0.250], [0.733, 0.465, 0.602], [0.650, 0.300, 0.250], [0.413, 0.826, 0.369], [0.170, 0.340, 0.750], [0.011, 0.023, 0.250], [0.413, 0.826, 0.131], [0.150, 0.300, 0.466], [0.587, 0.174, 0.631], [0.455, 0.909, 0.570], [0.989, 0.977, 0.750], [0.733, 0.465, 0.898], [0.587, 0.174, 0.869], [0.455, 0.909, 0.930], [0.267, 0.535, 0.102], [0.350, 0.700, 0.750], [0.267, 0.535, 0.398], [0.850, 0.700, 0.966]], "total_magnetization_mub_per_fu": 0.00, "sg": "Cmcm, No. 63", "n_ef_per_ev_atom": 0.35}

Least stable = entry a

Entry a
{"formula": "LiMg2Cd2", "functional": "GGA-PBE", "state": "relaxed", "lattice": [[8.238, 0.000, 0.000], [0.000, 8.238, 0.000], [0.000, 0.000, 3.315]], "species": ["Mg", "Li", "Mg", "Cd", "Cd", "Li", "Mg", "Cd", "Cd", "Mg"], "fractional_positions": [[0.331, 0.169, 0.500], [0.000, 0.000, 0.000], [0.169, 0.669, 0.500], [0.131, 0.369, 0.000], [0.631, 0.131, 0.000], [0.500, 0.500, 0.000], [0.669, 0.831, 0.500], [0.369, 0.869, 0.000], [0.869, 0.631, 0.000], [0.831, 0.331, 0.500]], "total_magnetization_mub_per_fu": 0.00, "sg": "P4/mbm, No. 127", "n_ef_per_ev_atom": 0.28}

Entry b
{"formula": "LiMg2Cd2", "functional": "GGA-PBE", "state": "relaxed", "lattice": [[-2.058, 2.452, 1.076], [-1.621, -2.079, 1.637], [5.273, 0.540, 8.852]], "species": ["Mg", "Li", "Mg", "Cd", "Cd"], "fractional_positions": [[0.000, 0.816, 0.368], [0.000, 0.000, 0.000], [0.000, 0.184, 0.632], [0.500, 0.584, 0.832], [0.500, 0.416, 0.168]], "total_magnetization_mub_per_fu": 0.00, "sg": "Cmmm, No. 65", "n_ef_per_ev_atom": 0.25}

Least stable = entry a

Entry a
{"formula": "LiMg2Cd2", "functional": "GGA-PBE", "state": "relaxed", "lattice": [[-3.605, 4.702, 6.289], [-1.537, -7.209, 4.509], [2.697, 0.267, 1.347]], "species": ["Cd", "Li", "Cd", "Li", "Mg", "Mg", "Mg", "Cd", "Mg", "Cd"], "fractional_positions": [[0.828, 0.328, 0.500], [0.500, 0.500, 0.000], [0.172, 0.672, 0.500], [0.000, 0.000, 0.000], [0.373, 0.873, 0.000], [0.873, 0.627, 0.000], [0.127, 0.373, 0.000], [0.672, 0.828, 0.500], [0.627, 0.127, 0.000], [0.328, 0.172, 0.500]], "total_magnetization_mub_per_fu": 0.00, "sg": "P4/mbm, No. 127", "n_ef_per_ev_atom": 0.27}

Entry b
{"formula": "LiMg2Cd2", "functional": "GGA-PBE", "state": "relaxed", "lattice": [[4.836, 0.000, 0.000], [2.418, 5.170, -0.951], [2.418, -1.092, 8.497]], "species": ["Cd", "Li", "Cd", "Mg", "Cd", "Li", "Mg", "Mg", "Cd", "Mg"], "fractional_positions": [[0.308, 0.239, 0.145], [0.524, 0.218, 0.734], [0.088, 0.260, 0.564], [0.299, 0.751, 0.651], [0.692, 0.761, 0.855], [0.476, 0.782, 0.266], [0.701, 0.249, 0.349], [0.890, 0.268, 0.953], [0.912, 0.740, 0.436], [0.110, 0.732, 0.047]], "total_magnetization_mub_per_fu": 0.00, "sg": "C2/m, No. 12", "n_ef_per_ev_atom": 0.24}

Entry c
{"formula": "LiMg2Cd2", "functional": "GGA-PBE", "state": "relaxed", "lattice": [[4.134, 0.000, 0.000], [0.000, 4.134, 0.000], [2.067, 2.067, 7.075]], "species": ["Mg", "Li", "Cd", "Cd", "Mg"], "fractional_positions": [[0.750, 0.250, 0.500], [0.000, 0.000, 0.000], [0.402, 0.402, 0.196], [0.598, 0.598, 0.804], [0.250, 0.750, 0.500]], "total_magnetization_mub_per_fu": 0.00, "sg": "I4/mmm, No. 139", "n_ef_per_ev_atom": 0.48}

Least stable = entry c

Entry a
{"formula": "Li4MgCd2", "functional": "GGA-PBE", "state": "relaxed", "lattice": [[1.218, -5.297, 1.380], [5.183, -2.013, 0.728], [-2.688, 4.394, 5.789]], "species": ["Li", "Cd", "Li", "Cd", "Mg", "Li", "Li"], "fractional_positions": [[0.500, 0.000, 0.000], [0.589, 0.589, 0.221], [0.000, 0.500, 0.000], [0.411, 0.411, 0.779], [0.000, 0.000, 0.000], [0.689, 0.689, 0.626], [0.311, 0.311, 0.374]], "total_magnetization_mub_per_fu": 0.00, "sg": "C2/m, No. 12", "n_ef_per_ev_atom": 0.40}

Entry b
{"formula": "Li4MgCd2", "functional": "GGA-PBE", "state": "relaxed", "lattice": [[2.996, 0.000, 0.000], [0.000, 7.374, 0.139], [-1.498, -3.460, 6.430]], "species": ["Li", "Li", "Mg", "Cd", "Li", "Li", "Cd"], "fractional_positions": [[0.357, 0.599, 0.715], [0.083, 0.703, 0.166], [0.000, 0.000, 0.000], [0.775, 0.839, 0.549], [0.917, 0.297, 0.834], [0.643, 0.401, 0.285], [0.225, 0.161, 0.451]], "total_magnetization_mub_per_fu": 0.00, "sg": "C2/m, No. 12", "n_ef_per_ev_atom": 0.43}

Least stable = entry a

Entry a
{"formula": "Li12Mg5Cd2", "functional": "GGA-PBE", "state": "relaxed", "lattice": [[-3.144, 6.483, -3.111], [-4.156, -4.305, 5.128], [2.821, 3.915, 5.309]], "species": ["Cd", "Mg", "Li", "Mg", "Li", "Mg", "Mg", "Mg", "Li", "Li", "Li", "Li", "Cd", "Li", "Li", "Li", "Li", "Li", "Li"], "fractional_positions": [[0.686, 0.000, 0.000], [0.000, 0.000, 0.500], [0.918, 0.835, 0.109], [0.240, 0.479, 0.559], [0.831, 0.256, 0.683], [0.705, 0.410, 0.012], [0.295, 0.590, 0.988], [0.760, 0.521, 0.441], [0.425, 0.256, 0.683], [0.449, 0.899, 0.666], [0.575, 0.744, 0.317], [0.169, 0.744, 0.317], [0.314, 0.000, 0.000], [0.551, 0.101, 0.334], [0.960, 0.296, 0.245], [0.663, 0.704, 0.755], [0.082, 0.165, 0.891], [0.040, 0.704, 0.755], [0.337, 0.296, 0.245]], "total_magnetization_mub_per_fu": 0.00, "sg": "C2/m, No. 12", "n_ef_per_ev_atom": 0.45}

Entry b
{"formula": "Li12Mg5Cd2", "functional": "GGA-PBE", "state": "relaxed", "lattice": [[-1.637, -3.983, -1.828], [-6.390, -3.884, 8.059], [-10.718, 0.491, 2.400]], "species": ["Mg", "Li", "Li", "Cd", "Li", "Mg", "Cd", "Li", "Mg", "Li", "Li", "Li", "Li", "Mg", "Mg", "Li", "Li", "Li", "Li"], "fractional_positions": [[0.500, 0.000, 0.000], [0.101, 0.899, 0.899], [0.809, 0.926, 0.458], [0.000, 0.231, 0.769], [0.414, 0.373, 0.798], [0.704, 0.293, 0.293], [0.000, 0.769, 0.231], [0.191, 0.074, 0.542], [0.296, 0.707, 0.707], [0.899, 0.101, 0.101], [0.085, 0.415, 0.415], [0.191, 0.542, 0.074], [0.414, 0.798, 0.373], [0.309, 0.190, 0.190], [0.691, 0.810, 0.810], [0.586, 0.202, 0.627], [0.915, 0.585, 0.585], [0.809, 0.458, 0.926], [0.586, 0.627, 0.202]], "total_magnetization_mub_per_fu": 0.00, "sg": "C2/m, No. 12", "n_ef_per_ev_atom": 0.38}

Least stable = entry a

Entry a
{"formula": "Li3MgCd3", "functional": "GGA-PBE", "state": "relaxed", "lattice": [[6.947, -0.049, -0.001], [-0.033, 6.948, -0.001], [0.001, 0.001, 5.937]], "species": ["Mg", "Cd", "Li", "Cd", "Li", "Cd", "Li", "Cd", "Cd", "Cd", "Li", "Mg", "Li", "Li"], "fractional_positions": [[0.323, 0.323, 0.000], [0.000, 0.000, 0.249], [0.302, 0.698, 0.500], [0.000, 0.000, 0.751], [0.251, 0.749, 0.000], [0.500, 0.000, 0.747], [0.258, 0.258, 0.500], [0.000, 0.500, 0.747], [0.000, 0.500, 0.253], [0.500, 0.000, 0.253], [0.749, 0.251, 0.000], [0.677, 0.677, 0.000], [0.742, 0.742, 0.500], [0.698, 0.302, 0.500]], "total_magnetization_mub_per_fu": 0.00, "sg": "Cmmm, No. 65", "n_ef_per_ev_atom": 0.31}

Entry b
{"formula": "Li3MgCd3", "functional": "GGA-PBE", "state": "relaxed", "lattice": [[-2.847, -6.641, -0.823], [3.011, -0.473, -6.603], [5.976, -2.925, 2.935]], "species": ["Mg", "Li", "Li", "Cd", "Li", "Cd", "Cd", "Li", "Cd", "Cd", "Li", "Li", "Mg", "Cd"], "fractional_positions": [[0.000, 0.000, 0.000], [0.500, 0.000, 0.750], [0.000, 0.750, 0.500], [0.000, 0.500, 0.250], [0.750, 0.500, 0.000], [0.500, 0.750, 0.000], [0.500, 0.250, 0.000], [0.500, 0.000, 0.250], [0.000, 0.500, 0.750], [0.250, 0.000, 0.500], [0.000, 0.250, 0.500], [0.250, 0.500, 0.000], [0.500, 0.500, 0.500], [0.750, 0.000, 0.500]], "total_magnetization_mub_per_fu": 0.00, "sg": "Pm-3n, No. 223", "n_ef_per_ev_atom": 0.63}

Least stable = entry b

Entry a
{"formula": "Li8Mg3Cd2", "functional": "GGA-PBE", "state": "relaxed", "lattice": [[4.865, 0.000, 0.000], [0.000, 8.119, -6.717], [0.000, -2.719, 8.705]], "species": ["Li", "Li", "Cd", "Mg", "Cd", "Li", "Li", "Li", "Mg", "Mg", "Li", "Li", "Li"], "fractional_positions": [[0.500, 0.340, 0.936], [0.500, 0.479, 0.338], [0.500, 0.882, 0.565], [0.000, 0.193, 0.970], [0.500, 0.118, 0.435], [0.500, 0.521, 0.662], [0.000, 0.734, 0.305], [0.000, 0.708, 0.601], [0.500, 0.000, 0.000], [0.000, 0.807, 0.030], [0.000, 0.266, 0.695], [0.500, 0.660, 0.064], [0.000, 0.292, 0.399]], "total_magnetization_mub_per_fu": 0.00, "sg": "P2/m, No. 10", "n_ef_per_ev_atom": 0.31}

Entry b
{"formula": "Li8Mg3Cd2", "functional": "GGA-PBE", "state": "relaxed", "lattice": [[5.735, 0.000, 0.563], [0.000, 8.075, 0.000], [-1.555, -4.038, 5.973]], "species": ["Cd", "Mg", "Mg", "Mg", "Li", "Li", "Li", "Li", "Li", "Li", "Li", "Li", "Cd"], "fractional_positions": [[0.287, 0.199, 0.399], [0.000, 0.818, 0.000], [0.500, 0.000, 0.000], [0.000, 0.182, 0.000], [0.544, 0.560, 0.750], [0.807, 0.215, 0.431], [0.858, 0.586, 0.171], [0.456, 0.811, 0.250], [0.142, 0.414, 0.829], [0.456, 0.440, 0.250], [0.193, 0.785, 0.569], [0.544, 0.189, 0.750], [0.713, 0.801, 0.601]], "total_magnetization_mub_per_fu": 0.00, "sg": "C2/m, No. 12", "n_ef_per_ev_atom": 0.40}

Least stable = entry b